# LaY3HoEr PBE relaxed
# ΔE_f	0.12	eV per atom
# SG	Cmcm
data_LaY3HoEr
_chemical_formula_sum 'La2 Y6 Ho2 Er2'
_symmetry_space_group_name_H-M 'P 1'
_symmetry_Int_Tables_number 1
_symmetry_space_group_name_Hall 'P 1'
_cell_length_a 5.7718
_cell_length_b 6.5804
_cell_length_c 11.5309
_cell_angle_alpha 90.00
_cell_angle_beta 90.00
_cell_angle_gamma 116.01
loop_
_atom_site_label
_atom_site_type_symbol
_atom_site_fract_x
_atom_site_fract_y
_atom_site_fract_z
La1 La 0.5270 0.0539 0.7500
La2 La 0.4730 0.9461 0.2500
Y1 Y 0.6743 0.3487 0.4765
Y2 Y 0.3257 0.6513 0.5235
Y3 Y 0.3257 0.6513 0.9765
Y4 Y 0.6743 0.3487 0.0235
Y5 Y 0.1477 0.2954 0.7500
Y6 Y 0.8523 0.7046 0.2500
Ho1 Ho 0.0000 0.0000 0.5000
Ho2 Ho 0.0000 0.0000 0.0000
Er1 Er 0.8287 0.6575 0.7500
Er2 Er 0.1713 0.3425 0.2500

=====

# BaAlGeAu3 PBE relaxed
# ΔE_f	-0.45	eV per atom
# SG	Cmcm
data_BaAlGeAu3
_chemical_formula_sum 'Ba2 Al2 Ge2 Au6'
_symmetry_space_group_name_H-M 'P 1'
_symmetry_Int_Tables_number 1
_symmetry_space_group_name_Hall 'P 1'
_cell_length_a 6.6143
_cell_length_b 6.8887
_cell_length_c 7.5324
_cell_angle_alpha 117.21
_cell_angle_beta 90.00
_cell_angle_gamma 90.00
loop_
_atom_site_label
_atom_site_type_symbol
_atom_site_fract_x
_atom_site_fract_y
_atom_site_fract_z
Ba1 Ba 0.7500 0.2598 0.5196
Ba2 Ba 0.2500 0.7402 0.4804
Al1 Al 0.2500 0.0255 0.0510
Al2 Al 0.7500 0.9745 0.9490
Ge1 Ge 0.2500 0.3976 0.7952
Ge2 Ge 0.7500 0.6024 0.2048
Au1 Au 0.2500 0.2099 0.4197
Au2 Au 0.0000 0.2819 0.0000
Au3 Au 0.5000 0.7181 0.0000
Au4 Au 0.5000 0.2819 0.0000
Au5 Au 0.0000 0.7181 0.0000
Au6 Au 0.7500 0.7901 0.5803

=====

# Al2ZnGa PBE relaxed
# ΔE_f	0.11	eV per atom
# SG	R3m
data_Al2ZnGa
_chemical_formula_sum 'Al2 Zn1 Ga1'
_symmetry_space_group_name_H-M 'P 1'
_symmetry_Int_Tables_number 1
_symmetry_space_group_name_Hall 'P 1'
_cell_length_a 4.2045
_cell_length_b 4.2045
_cell_length_c 5.4098
_cell_angle_alpha 67.13
_cell_angle_beta 67.13
_cell_angle_gamma 60.00
loop_
_atom_site_label
_atom_site_type_symbol
_atom_site_fract_x
_atom_site_fract_y
_atom_site_fract_z
Al1 Al 0.0702 0.0702 0.7893
Al2 Al 0.2656 0.2656 0.2031
Zn1 Zn 0.6727 0.6727 0.9819
Ga1 Ga 0.4914 0.4914 0.5257

=====

# MoIrCl2 PBE relaxed
# formation energy from raw total energies	688	meV per atom
# SG	P2/m
data_MoIrCl2
_chemical_formula_sum 'Mo1 Ir1 Cl2'
_symmetry_space_group_name_H-M 'P 1'
_symmetry_Int_Tables_number 1
_symmetry_space_group_name_Hall 'P 1'
_cell_length_a 4.2724
_cell_length_b 2.9658
_cell_length_c 5.1381
_cell_angle_alpha 94.53
_cell_angle_beta 90.00
_cell_angle_gamma 90.00
loop_
_atom_site_label
_atom_site_type_symbol
_atom_site_fract_x
_atom_site_fract_y
_atom_site_fract_z
Mo1 Mo 0.5000 0.7500 0.7500
Ir1 Ir 0.5000 0.2500 0.2500
Cl1 Cl 0.0000 0.9774 0.9946
Cl2 Cl 0.0000 0.5226 0.5054

=====

# Pr5HfSi4 PBE relaxed
# formation energy from raw total energies	-375	meV per atom
# SG	C2/m
data_Pr5HfSi4
_chemical_formula_sum 'Pr5 Hf1 Si4'
_symmetry_space_group_name_H-M 'P 1'
_symmetry_Int_Tables_number 1
_symmetry_space_group_name_Hall 'P 1'
_cell_length_a 4.2080
_cell_length_b 7.8264
_cell_length_c 9.4128
_cell_angle_alpha 108.08
_cell_angle_beta 102.92
_cell_angle_gamma 90.00
loop_
_atom_site_label
_atom_site_type_symbol
_atom_site_fract_x
_atom_site_fract_y
_atom_site_fract_z
Pr1 Pr 0.8335 0.6274 0.6670
Pr2 Pr 0.8346 0.1474 0.6692
Pr3 Pr 0.1654 0.8526 0.3308
Pr4 Pr 0.5000 0.5000 0.0000
Pr5 Pr 0.1665 0.3726 0.3330
Hf1 Hf 0.5000 0.0000 0.0000
Si1 Si 0.3346 0.8823 0.6693
Si2 Si 0.9985 0.7728 0.9970
Si3 Si 0.6654 0.1177 0.3307
Si4 Si 0.0015 0.2272 0.0030

=====

# Pa2IrO8 PBE relaxed
# formation energy from raw total energies	-2298	meV per atom
# SG	P-1
data_Pa2IrO8
_chemical_formula_sum 'Pa2 Ir1 O8'
_symmetry_space_group_name_H-M 'P 1'
_symmetry_Int_Tables_number 1
_symmetry_space_group_name_Hall 'P 1'
_cell_length_a 4.4621
_cell_length_b 6.3715
_cell_length_c 6.9544
_cell_angle_alpha 85.28
_cell_angle_beta 105.98
_cell_angle_gamma 122.17
loop_
_atom_site_label
_atom_site_type_symbol
_atom_site_fract_x
_atom_site_fract_y
_atom_site_fract_z
Pa1 Pa 0.8159 0.4796 0.7203
Pa2 Pa 0.1841 0.5204 0.2797
Ir1 Ir 0.5000 0.0000 0.0000
O1 O 0.3441 0.8995 0.2454
O2 O 0.6396 0.3535 0.0133
O3 O 0.7372 0.5425 0.4025
O4 O 0.0079 0.8509 0.8214
O5 O 0.2628 0.4575 0.5975
O6 O 0.3604 0.6465 0.9867
O7 O 0.6559 0.1005 0.7546
O8 O 0.9921 0.1491 0.1786

=====

# Cs2MnSi2 PBE relaxed
# formation energy from raw total energies	570	meV per atom
# SG	P4/mbm
data_Cs2MnSi2
_chemical_formula_sum 'Cs4 Mn2 Si4'
_symmetry_space_group_name_H-M 'P 1'
_symmetry_Int_Tables_number 1
_symmetry_space_group_name_Hall 'P 1'
_cell_length_a 6.7631
_cell_length_b 6.7631
_cell_length_c 6.6010
_cell_angle_alpha 90.00
_cell_angle_beta 90.00
_cell_angle_gamma 90.00
loop_
_atom_site_label
_atom_site_type_symbol
_atom_site_fract_x
_atom_site_fract_y
_atom_site_fract_z
Cs1 Cs 0.1757 0.6757 0.5000
Cs2 Cs 0.6757 0.8243 0.5000
Cs3 Cs 0.8243 0.3243 0.5000
Cs4 Cs 0.3243 0.1757 0.5000
Si1 Si 0.2833 0.7833 0.0000
Si2 Si 0.7833 0.7167 0.0000
Si3 Si 0.7167 0.2167 0.0000
Si4 Si 0.2167 0.2833 0.0000
Mn1 Mn 0.0000 0.0000 0.0000
Mn2 Mn 0.5000 0.5000 0.0000

=====

# Ca2Hg PBE relaxed
# ΔE_f	-0.37	eV per atom
# SG	C2/m
data_Ca2Hg
_chemical_formula_sum 'Ca4 Hg2'
_symmetry_space_group_name_H-M 'P 1'
_symmetry_Int_Tables_number 1
_symmetry_space_group_name_Hall 'P 1'
_cell_length_a 6.6311
_cell_length_b 6.6311
_cell_length_c 8.8594
_cell_angle_alpha 60.34
_cell_angle_beta 60.34
_cell_angle_gamma 36.74
loop_
_atom_site_label
_atom_site_type_symbol
_atom_site_fract_x
_atom_site_fract_y
_atom_site_fract_z
Ca1 Ca 0.0590 0.0590 0.9345
Ca2 Ca 0.3068 0.3068 0.3753
Ca3 Ca 0.6377 0.6377 0.2358
Ca4 Ca 0.8855 0.8855 0.6766
Hg1 Hg 0.6069 0.6069 0.6256
Hg2 Hg 0.3376 0.3376 0.9855

=====

# BaTePS2 PBE relaxed
# formation energy from raw total energies	912	meV per atom
# SG	P4/mmm
data_BaTePS2
_chemical_formula_sum 'Ba1 Te1 P1 S2'
_symmetry_space_group_name_H-M 'P 1'
_symmetry_Int_Tables_number 1
_symmetry_space_group_name_Hall 'P 1'
_cell_length_a 6.0768
_cell_length_b 6.0768
_cell_length_c 6.3705
_cell_angle_alpha 90.00
_cell_angle_beta 90.00
_cell_angle_gamma 90.00
loop_
_atom_site_label
_atom_site_type_symbol
_atom_site_fract_x
_atom_site_fract_y
_atom_site_fract_z
P1 P 0.0000 0.0000 0.5000
S1 S 0.0000 0.5000 0.0000
S2 S 0.5000 0.0000 0.0000
Te1 Te 0.5000 0.5000 0.5000
Ba1 Ba 0.0000 0.0000 0.0000

=====

# Hf2SiRh PBE relaxed
# formation energy from raw total energies	47	meV per atom
# SG	I-42d
data_Hf2SiRh
_chemical_formula_sum 'Hf4 Si2 Rh2'
_symmetry_space_group_name_H-M 'P 1'
_symmetry_Int_Tables_number 1
_symmetry_space_group_name_Hall 'P 1'
_cell_length_a 4.1172
_cell_length_b 4.1172
_cell_length_c 9.6023
_cell_angle_alpha 77.62
_cell_angle_beta 77.62
_cell_angle_gamma 90.00
loop_
_atom_site_label
_atom_site_type_symbol
_atom_site_fract_x
_atom_site_fract_y
_atom_site_fract_z
Rh1 Rh 0.0000 0.0000 0.0000
Rh2 Rh 0.7500 0.2500 0.5000
Si1 Si 0.5000 0.5000 0.0000
Si2 Si 0.2500 0.7500 0.5000
Hf1 Hf 0.6160 0.1250 0.2500
Hf2 Hf 0.1340 0.6250 0.2500
Hf3 Hf 0.3750 0.3840 0.7500
Hf4 Hf 0.8750 0.8660 0.7500

=====

# Pt3PbCl PBE relaxed
# formation energy from raw total energies	706	meV per atom
# SG	Pm-3m
data_Pt3PbCl
_chemical_formula_sum 'Pt3 Pb1 Cl1'
_symmetry_space_group_name_H-M 'P 1'
_symmetry_Int_Tables_number 1
_symmetry_space_group_name_Hall 'P 1'
_cell_length_a 4.7082
_cell_length_b 4.7082
_cell_length_c 4.7082
_cell_angle_alpha 90.00
_cell_angle_beta 90.00
_cell_angle_gamma 90.00
loop_
_atom_site_label
_atom_site_type_symbol
_atom_site_fract_x
_atom_site_fract_y
_atom_site_fract_z
Pb1 Pb 0.5000 0.5000 0.5000
Pt1 Pt 0.0000 0.5000 0.0000
Pt2 Pt 0.0000 0.0000 0.5000
Pt3 Pt 0.5000 0.0000 0.0000
Cl1 Cl 0.0000 0.0000 0.0000

=====

# In2NiRu PBE relaxed
# ΔE_f	0.40	eV per atom
# SG	I-42d
data_In2NiRu
_chemical_formula_sum 'In4 Ni2 Ru2'
_symmetry_space_group_name_H-M 'P 1'
_symmetry_Int_Tables_number 1
_symmetry_space_group_name_Hall 'P 1'
_cell_length_a 7.0849
_cell_length_b 7.0849
_cell_length_c 5.7851
_cell_angle_alpha 52.24
_cell_angle_beta 52.24
_cell_angle_gamma 90.00
loop_
_atom_site_label
_atom_site_type_symbol
_atom_site_fract_x
_atom_site_fract_y
_atom_site_fract_z
Ru1 Ru 0.0000 0.0000 0.0000
Ru2 Ru 0.7500 0.2500 0.5000
Ni1 Ni 0.5000 0.5000 0.0000
Ni2 Ni 0.2500 0.7500 0.5000
In1 In 0.6052 0.1250 0.2500
In2 In 0.1448 0.6250 0.2500
In3 In 0.3750 0.3948 0.7500
In4 In 0.8750 0.8552 0.7500

=====

Calculated total energy / Ry per atom: -0.401, -0.279, -0.209, -0.379, -0.436, -0.620, -0.277, -0.133, -0.208, -0.597, -0.296, -0.348